Model w:
## SiB2Rh6 (PBE)

Data for crystalline SiB2Rh6 at its relaxed geometry.

Cell lengths 5.327, 5.263, 8.688 Å; angles 90.00, 109.06, 90.00 degrees
Element x y z (fractional)
Si: 0.000 0.000 0.000
Si: 0.000 0.500 0.500
B: 0.310 0.106 0.795
B: 0.310 0.394 0.295
B: 0.690 0.606 0.705
B: 0.690 0.894 0.205
Rh: 0.123 0.038 0.298
Rh: 0.123 0.462 0.798
Rh: 0.308 0.670 0.111
Rh: 0.308 0.830 0.611
Rh: 0.408 0.188 0.076
Rh: 0.408 0.312 0.576
Rh: 0.592 0.688 0.424
Rh: 0.592 0.812 0.924
Rh: 0.692 0.170 0.389
Rh: 0.692 0.330 0.889
Rh: 0.877 0.538 0.202
Rh: 0.877 0.962 0.702

Computed properties:
Symmetry = P2_1/c (14)
N(E_F) = 15.56 states/eV per cell

***

Model x:
## SiB2Rh6 (PBE)

Data for crystalline SiB2Rh6 at its relaxed geometry.

Cell lengths 6.584, 6.584, 6.584 Å; angles 113.36, 110.80, 104.39 degrees
Element x y z (fractional)
Si: 0.000 0.000 0.000
Si: 0.500 0.500 0.000
B: 0.114 0.614 0.500
B: 0.356 0.000 0.356
B: 0.644 0.000 0.644
B: 0.886 0.386 0.500
Rh: 0.047 0.237 0.811
Rh: 0.186 0.290 0.476
Rh: 0.186 0.710 0.897
Rh: 0.322 0.008 0.686
Rh: 0.322 0.636 0.314
Rh: 0.426 0.237 0.189
Rh: 0.574 0.763 0.811
Rh: 0.678 0.364 0.686
Rh: 0.678 0.992 0.314
Rh: 0.814 0.290 0.103
Rh: 0.814 0.710 0.524
Rh: 0.953 0.763 0.189

Computed properties:
Symmetry = Immm (71)
N(E_F) = 18.33 states/eV per cell

***

It is model w that is the least stable of them.

***

Model w:
## Si3BRh (PBE)

Data for crystalline Si3BRh at its relaxed geometry.

Cell lengths 4.572, 4.572, 4.572 Å; angles 90.00, 90.00, 90.00 degrees
Element x y z (fractional)
Si: 0.000 0.000 0.500
Si: 0.000 0.500 0.000
Si: 0.500 0.000 0.000
B: 0.500 0.500 0.500
Rh: 0.000 0.000 0.000

Computed properties:
Symmetry = Pm-3m (221)
N(E_F) = 3.66 states/eV per cell

***

Model x:
## Si3BRh (PBE)

Data for crystalline Si3BRh at its relaxed geometry.

Cell lengths 4.036, 4.036, 4.036 Å; angles 90.00, 90.00, 90.00 degrees
Element x y z (fractional)
Si: 0.000 0.000 0.500
Si: 0.000 0.500 0.000
Si: 0.500 0.000 0.000
B: 0.000 0.000 0.000
Rh: 0.500 0.500 0.500

Computed properties:
Symmetry = Pm-3m (221)
N(E_F) = 1.82 states/eV per cell

***

It is model w that is the least stable of them.

***

Model w:
## SiB2Rh8 (PBE)

Data for crystalline SiB2Rh8 at its relaxed geometry.

Cell lengths 7.913, 7.913, 7.913 Å; angles 159.44, 121.76, 62.44 degrees
Element x y z (fractional)
Si: 0.000 0.000 0.000
B: 0.283 0.283 0.000
B: 0.717 0.717 0.000
Rh: 0.150 0.833 0.317
Rh: 0.155 0.655 0.500
Rh: 0.253 0.500 0.753
Rh: 0.484 0.167 0.317
Rh: 0.516 0.833 0.683
Rh: 0.747 0.500 0.247
Rh: 0.845 0.345 0.500
Rh: 0.850 0.167 0.683

Computed properties:
Symmetry = Immm (71)
N(E_F) = 13.78 states/eV per cell

***

Model x:
## SiB2Rh8 (PBE)

Data for crystalline SiB2Rh8 at its relaxed geometry.

Cell lengths 7.195, 7.195, 5.507 Å; angles 111.33, 111.33, 32.07 degrees
Element x y z (fractional)
Si: 0.000 0.000 0.000
B: 0.331 0.331 0.312
B: 0.669 0.669 0.688
Rh: 0.099 0.099 0.491
Rh: 0.183 0.183 0.006
Rh: 0.308 0.308 0.667
Rh: 0.463 0.463 0.214
Rh: 0.537 0.537 0.786
Rh: 0.692 0.692 0.333
Rh: 0.817 0.817 0.994
Rh: 0.901 0.901 0.509

Computed properties:
Symmetry = C2/m (12)
N(E_F) = 11.28 states/eV per cell

***

It is model w that is the least stable of them.

***

Model w:
## SiBRh2 (PBE)

Data for crystalline SiBRh2 at its relaxed geometry.

Cell lengths 4.045, 4.045, 4.045 Å; angles 60.00, 60.00, 60.00 degrees
Element x y z (fractional)
Si: 0.000 0.000 0.000
B: 0.500 0.500 0.500
Rh: 0.250 0.250 0.250
Rh: 0.750 0.750 0.750

Computed properties:
Symmetry = Fm-3m (225)
N(E_F) = 4.61 states/eV per cell

***

Model x:
## SiBRh2 (PBE)

Data for crystalline SiBRh2 at its relaxed geometry.

Cell lengths 6.004, 6.004, 6.004 Å; angles 130.08, 130.08, 73.27 degrees
Element x y z (fractional)
Si: 0.000 0.000 0.000
Si: 0.750 0.250 0.500
B: 0.250 0.750 0.500
B: 0.500 0.500 0.000
Rh: 0.177 0.625 0.052
Rh: 0.375 0.427 0.552
Rh: 0.573 0.125 0.948
Rh: 0.875 0.823 0.448

Computed properties:
Symmetry = I-42d (122)
N(E_F) = 4.76 states/eV per cell

***

It is model x that is the least stable of them.

***

Model w:
## SmB4Rh4 (PBE)

Data for crystalline SmB4Rh4 at its relaxed geometry.

Cell lengths 5.357, 5.357, 7.519 Å; angles 90.00, 90.00, 90.00 degrees
Element x y z (fractional)
Sm: 0.250 0.750 0.250
Sm: 0.750 0.250 0.750
B: 0.081 0.250 0.099
B: 0.250 0.081 0.599
B: 0.250 0.419 0.599
B: 0.419 0.250 0.099
B: 0.581 0.750 0.901
B: 0.750 0.581 0.401
B: 0.750 0.919 0.401
B: 0.919 0.750 0.901
Rh: 0.001 0.750 0.606
Rh: 0.250 0.501 0.894
Rh: 0.250 0.999 0.894
Rh: 0.499 0.750 0.606
Rh: 0.501 0.250 0.394
Rh: 0.750 0.001 0.106
Rh: 0.750 0.499 0.106
Rh: 0.999 0.250 0.394

Computed properties:
Symmetry = P4_2/nmc (137)
N(E_F) = 8.92 states/eV per cell

***

Model x:
## SmB4Rh4 (PBE)

Data for crystalline SmB4Rh4 at its relaxed geometry.

Cell lengths 7.546, 7.546, 4.025 Å; angles 90.00, 90.00, 90.00 degrees
Element x y z (fractional)
Sm: 0.250 0.250 0.250
Sm: 0.750 0.750 0.750
B: 0.038 0.912 0.141
B: 0.088 0.538 0.641
B: 0.412 0.962 0.641
B: 0.462 0.588 0.141
B: 0.538 0.412 0.859
B: 0.588 0.038 0.359
B: 0.912 0.462 0.359
B: 0.962 0.088 0.859
Rh: 0.094 0.639 0.140
Rh: 0.139 0.906 0.640
Rh: 0.361 0.594 0.640
Rh: 0.406 0.861 0.140
Rh: 0.594 0.139 0.860
Rh: 0.639 0.406 0.360
Rh: 0.861 0.094 0.360
Rh: 0.906 0.361 0.860

Computed properties:
Symmetry = P4_2/n (86)
N(E_F) = 5.65 states/eV per cell

***

It is model w that is the least stable of them.

***

Model w:
## Sn3BRh (PBE)

Data for crystalline Sn3BRh at its relaxed geometry.

Cell lengths 5.094, 5.094, 5.094 Å; angles 90.00, 90.00, 90.00 degrees
Element x y z (fractional)
Sn: 0.000 0.000 0.500
Sn: 0.000 0.500 0.000
Sn: 0.500 0.000 0.000
B: 0.500 0.500 0.500
Rh: 0.000 0.000 0.000

Computed properties:
Symmetry = Pm-3m (221)
N(E_F) = 3.44 states/eV per cell

***

Model x:
## Sn3BRh (PBE)

Data for crystalline Sn3BRh at its relaxed geometry.

Cell lengths 4.694, 4.694, 4.694 Å; angles 90.00, 90.00, 90.00 degrees
Element x y z (fractional)
Sn: 0.000 0.000 0.500
Sn: 0.000 0.500 0.000
Sn: 0.500 0.000 0.000
B: 0.000 0.000 0.000
Rh: 0.500 0.500 0.500

Computed properties:
Symmetry = Pm-3m (221)
N(E_F) = 3.99 states/eV per cell

***

It is model w that is the least stable of them.

***

Model w:
## SrB3Rh (PBE)

Data for crystalline SrB3Rh at its relaxed geometry.

Cell lengths 4.476, 4.476, 4.476 Å; angles 90.00, 90.00, 90.00 degrees
Element x y z (fractional)
Sr: 0.000 0.000 0.000
B: 0.000 0.000 0.500
B: 0.000 0.500 0.000
B: 0.500 0.000 0.000
Rh: 0.500 0.500 0.500

Computed properties:
Symmetry = Pm-3m (221)
N(E_F) = 4.59 states/eV per cell

***

Model x:
## SrB3Rh (PBE)

Data for crystalline SrB3Rh at its relaxed geometry.

Cell lengths 4.153, 4.153, 4.153 Å; angles 90.00, 90.00, 90.00 degrees
Element x y z (fractional)
Sr: 0.000 0.000 0.000
B: 0.000 0.500 0.500
B: 0.500 0.000 0.500
B: 0.500 0.500 0.000
Rh: 0.500 0.500 0.500

Computed properties:
Symmetry = Pm-3m (221)
N(E_F) = 1.91 states/eV per cell

***

It is model w that is the least stable of them.

***

Model w:
## TbBRh (PBE)

Data for crystalline TbBRh at its relaxed geometry.

Cell lengths 6.141, 6.141, 5.121 Å; angles 107.45, 107.45, 30.92 degrees
Element x y z (fractional)
Tb: 0.121 0.121 0.303
Tb: 0.879 0.879 0.697
B: 0.233 0.233 0.885
B: 0.767 0.767 0.115
Rh: 0.394 0.394 0.234
Rh: 0.606 0.606 0.766

Computed properties:
Symmetry = C2/m (12)
N(E_F) = 4.72 states/eV per cell

***

Model x:
## TbBRh (PBE)

Data for crystalline TbBRh at its relaxed geometry.

Cell lengths 5.642, 5.642, 5.642 Å; angles 131.76, 131.76, 70.61 degrees
Element x y z (fractional)
Tb: 0.000 0.000 0.000
Tb: 0.750 0.250 0.500
B: 0.059 0.559 0.500
B: 0.309 0.309 0.000
Rh: 0.271 0.771 0.500
Rh: 0.521 0.521 0.000

Computed properties:
Symmetry = I4_1md (109)
N(E_F) = 4.18 states/eV per cell

***

It is model x that is the least stable of them.